# 1
First-principles (GGA-PBE) data for a relaxed Zr2SnPd8 crystal, as listed in Alexandria.

Properties
DFT formation energy: -6.597 eV per formula unit

Unit cell a=4.6724 b=5.8646 c=7.9590 alpha=111.56 beta=107.07 gamma=90.00
Atoms (fractional coordinates):
Pd1 0.3561 0.5903 0.7122
Zr1 0.8105 0.3106 0.6211
Pd2 0.6442 0.8789 0.2884
Zr2 0.1895 0.6894 0.3789
Pd3 0.3558 0.1211 0.7116
Pd4 0.0002 0.7408 0.0004
Pd5 0.8191 0.8189 0.6382
Sn1 0.5000 0.0000 0.0000
Pd6 0.1809 0.1811 0.3618
Pd7 0.6439 0.4097 0.2878
Pd8 0.9998 0.2592 0.9996


# 2
First-principles (GGA-PBE) data for a relaxed TlZn2InCl crystal, as listed in Alexandria.

Properties
Formation energy without anion corrections: 0.76 eV per formula unit

Unit cell a=5.3145 b=5.8399 c=5.3145 alpha=90.00 beta=90.00 gamma=90.00
Atoms (fractional coordinates):
Zn1 0.5000 0.0000 0.0000
Tl1 0.0000 0.0000 0.0000
Cl1 0.0000 0.5000 0.0000
In1 0.5000 0.5000 0.5000
Zn2 0.0000 0.0000 0.5000


# 3
First-principles (GGA-PBE) data for a relaxed LuThHgAu crystal, as listed in Alexandria.

Properties
DFT formation energy: -1.920 eV per formula unit

Unit cell a=5.2331 b=5.2331 c=5.2331 alpha=60.00 beta=60.00 gamma=60.00
Atoms (fractional coordinates):
Hg1 0.5000 0.5000 0.5000
Lu1 0.2500 0.2500 0.2500
Th1 0.7500 0.7500 0.7500
Au1 0.0000 0.0000 0.0000


# 4
First-principles (GGA-PBE) data for a relaxed Pr2PaRu2 crystal, as listed in Alexandria.

Properties
DFT formation energy: -1.948 eV per formula unit

Unit cell a=6.0031 b=6.0031 c=7.9977 alpha=81.73 beta=81.73 gamma=61.69
Atoms (fractional coordinates):
Pr1 0.7655 0.5370 0.3497
Pa1 0.8856 0.1144 0.7500
Pr2 0.4630 0.2345 0.1503
Pr3 0.2345 0.4630 0.6503
Pr4 0.5370 0.7655 0.8497
Ru1 0.0033 0.2455 0.9862
Ru2 0.2455 0.0033 0.4862
Pa2 0.1144 0.8856 0.2500
Ru3 0.9967 0.7545 0.0138
Ru4 0.7545 0.9967 0.5138


# 5
First-principles (GGA-PBE) data for a relaxed KMn3C crystal, as listed in Alexandria.

Properties
DFT formation energy: 4.481 eV per formula unit
Energy relative to the lowest polymorph listed for this composition: 0.000 eV/atom

Unit cell a=4.1393 b=4.1393 c=4.1393 alpha=90.00 beta=90.00 gamma=90.00
Atoms (fractional coordinates):
Mn1 0.0000 0.0000 0.5000
C1 0.0000 0.0000 0.0000
Mn2 0.5000 0.0000 0.0000
K1 0.5000 0.5000 0.5000
Mn3 0.0000 0.5000 0.0000


# 6
First-principles (GGA-PBE) data for a relaxed Sm3GeSO crystal, as listed in Alexandria.

Properties
Formation energy without anion corrections: -11.40 eV per formula unit

Unit cell a=4.0467 b=8.3524 c=8.8466 alpha=100.93 beta=90.00 gamma=90.00
Atoms (fractional coordinates):
Sm1 0.7500 0.8993 0.1440
Ge1 0.2500 0.1699 0.2133
Sm2 0.7500 0.1777 0.5116
S1 0.2500 0.6523 0.1589
Sm3 0.2500 0.1007 0.8560
Sm4 0.7500 0.4083 0.1661
O1 0.2500 0.0962 0.5920
O2 0.7500 0.9038 0.4080
Ge2 0.7500 0.8301 0.7867
S2 0.7500 0.3477 0.8411
Sm5 0.2500 0.5917 0.8339
Sm6 0.2500 0.8223 0.4884


# 7
First-principles (GGA-PBE) data for a relaxed BaTb6Se8 crystal, as listed in Alexandria.

Properties
Formation energy without anion corrections: -26.03 eV per formula unit

Unit cell a=4.2018 b=10.8988 c=10.8988 alpha=120.00 beta=90.00 gamma=90.00
Atoms (fractional coordinates):
Se1 0.2515 0.3333 0.6667
Ba1 0.5000 0.0000 0.0000
Se2 0.7467 0.6525 0.9566
Se3 0.2533 0.3475 0.0434
Se4 0.7485 0.6667 0.3333
Se5 0.2533 0.9566 0.3041
Se6 0.7467 0.3041 0.3475
Tb1 0.2490 0.6534 0.1352
Tb2 0.7510 0.1352 0.4818
Tb3 0.2490 0.8648 0.5182
Tb4 0.2490 0.4818 0.3466
Tb5 0.7510 0.5182 0.6534
Se7 0.7467 0.0434 0.6959
Tb6 0.7510 0.3466 0.8648
Se8 0.2533 0.6959 0.6525


# 8
First-principles (GGA-PBE) data for a relaxed Sr2LiIr crystal, as listed in Alexandria.

Properties
DFT formation energy: 0.756 eV per formula unit

Unit cell a=5.2100 b=5.2100 c=5.2100 alpha=60.00 beta=60.00 gamma=60.00
Atoms (fractional coordinates):
Li1 0.7500 0.7500 0.7500
Sr1 0.2500 0.2500 0.2500
Ir1 0.5000 0.5000 0.5000
Sr2 0.0000 0.0000 0.0000


# 9
First-principles (GGA-PBE) data for a relaxed AcYHgGe crystal, as listed in Alexandria.

Properties
DFT formation energy: -2.008 eV per formula unit

Unit cell a=5.4142 b=5.4142 c=5.4142 alpha=60.00 beta=60.00 gamma=60.00
Atoms (fractional coordinates):
Ge1 0.2500 0.2500 0.2500
Ac1 0.0000 0.0000 0.0000
Hg1 0.7500 0.7500 0.7500
Y1 0.5000 0.5000 0.5000


# 10
First-principles (GGA-PBE) data for a relaxed Ti2PS crystal, as listed in Alexandria.

Properties
Formation energy without anion corrections: -3.65 eV per formula unit
Energy relative to the lowest polymorph listed for this composition: 0.306 eV/atom

Unit cell a=4.3386 b=4.3386 c=4.3386 alpha=60.00 beta=60.00 gamma=60.00
Atoms (fractional coordinates):
Ti1 0.7500 0.7500 0.7500
P1 0.0000 0.0000 0.0000
S1 0.5000 0.5000 0.5000
Ti2 0.2500 0.2500 0.2500


# 11
First-principles (GGA-PBE) data for a relaxed LaPaCu2O8 crystal, as listed in Alexandria.

Properties
Formation energy without anion corrections: -20.89 eV per formula unit

Unit cell a=5.3446 b=5.3446 c=6.5663 alpha=114.01 beta=114.01 gamma=90.00
Atoms (fractional coordinates):
O1 0.1641 0.6268 0.9326
Cu1 0.5000 0.5000 0.0000
Pa1 0.0000 0.0000 0.0000
Cu2 0.2500 0.7500 0.5000
O2 0.3732 0.2315 0.0674
La1 0.7500 0.2500 0.5000
O3 0.9437 0.8577 0.5779
O4 0.6342 0.7202 0.5779
O5 0.2798 0.0563 0.4221
O6 0.7685 0.3058 0.9326
O7 0.6942 0.8359 0.0674
O8 0.1423 0.3658 0.4221


# 12
First-principles (GGA-PBE) data for a relaxed Ca2BeP crystal, as listed in Alexandria.

Properties
DFT formation energy: -0.164 eV per formula unit
Energy relative to the lowest polymorph listed for this composition: 0.518 eV/atom

Unit cell a=5.9711 b=5.9711 c=5.9711 alpha=139.42 beta=139.42 gamma=58.74
Atoms (fractional coordinates):
Ca1 0.0000 0.0000 0.0000
P1 0.5000 0.5000 0.0000
Be1 0.7500 0.2500 0.5000
Ca2 0.2500 0.7500 0.5000


# 13
First-principles (GGA-PBE) data for a relaxed CaMn2BeTl crystal, as listed in Alexandria.

Properties
DFT formation energy: 2.516 eV per formula unit

Unit cell a=4.4647 b=5.1500 c=4.4647 alpha=90.00 beta=90.00 gamma=90.00
Atoms (fractional coordinates):
Tl1 0.5000 0.5000 0.5000
Ca1 0.0000 0.5000 0.0000
Mn1 0.0000 0.0000 0.5000
Be1 0.0000 0.0000 0.0000
Mn2 0.5000 0.0000 0.0000


# 14
First-principles (GGA-PBE) data for a relaxed Y2Hf2Cd crystal, as listed in Alexandria.

Properties
DFT formation energy: 1.012 eV per formula unit

Unit cell a=7.5906 b=7.5906 c=4.6620 alpha=90.00 beta=90.00 gamma=90.00
Atoms (fractional coordinates):
Y1 0.1582 0.6582 0.5000
Cd1 0.0000 0.0000 0.0000
Y2 0.6582 0.8418 0.5000
Hf1 0.6365 0.1365 0.0000
Y3 0.8418 0.3418 0.5000
Cd2 0.5000 0.5000 0.0000
Hf2 0.3635 0.8635 0.0000
Y4 0.3418 0.1582 0.5000
Hf3 0.1365 0.3635 0.0000
Hf4 0.8635 0.6365 0.0000


# 15
First-principles (GGA-PBE) data for a relaxed PmPr5Dy2 crystal, as listed in Alexandria.

Properties
DFT formation energy: 0.101 eV per formula unit
Energy relative to the lowest polymorph listed for this composition: 0.000 eV/atom

Unit cell a=5.1807 b=7.3178 c=14.6353 alpha=90.00 beta=90.00 gamma=90.00
Atoms (fractional coordinates):
Pm1 0.0000 0.0000 0.5000
Pr1 0.5000 0.2491 0.3754
Dy1 0.5000 0.7498 0.3755
Pr2 0.0000 0.4996 0.2494
Pr3 0.5000 0.2509 0.8754
Pm2 0.0000 0.5000 0.0000
Pr4 0.0000 0.5000 0.5000
Pr5 0.5000 0.7509 0.6246
Pr6 0.0000 0.5004 0.7506
Pr7 0.0000 0.9996 0.2506
Dy2 0.5000 0.2502 0.6245
Pr8 0.5000 0.7491 0.1246
Pr9 0.0000 0.0004 0.7494
Dy3 0.5000 0.7502 0.8755
Pr10 0.0000 0.0000 0.0000
Dy4 0.5000 0.2498 0.1245


# 16
First-principles (GGA-PBE) data for a relaxed Pr3Te2Pt crystal, as listed in Alexandria.

Properties
Formation energy without anion corrections: -7.62 eV per formula unit
Energy relative to the lowest polymorph listed for this composition: 0.027 eV/atom

Unit cell a=4.4577 b=4.4577 c=9.9654 alpha=102.92 beta=102.92 gamma=90.02
Atoms (fractional coordinates):
Pt1 0.4341 0.4358 0.8740
Te1 0.1090 0.1103 0.2233
Pr1 0.5847 0.5861 0.1749
Te2 0.7595 0.7609 0.5246
Pr2 0.2838 0.2852 0.5730
Pr3 0.9342 0.9358 0.8740


# 17
First-principles (GGA-PBE) data for a relaxed LiYHf crystal, as listed in Alexandria.

Properties
DFT formation energy: 0.452 eV per formula unit
Energy relative to the lowest polymorph listed for this composition: 0.052 eV/atom

Unit cell a=6.6812 b=5.0668 c=5.0644 alpha=119.96 beta=94.71 gamma=86.72
Atoms (fractional coordinates):
Li1 0.0004 0.8393 0.1672
Y1 0.2629 0.5064 0.4786
Y2 0.7371 0.4936 0.5214
Hf1 0.4999 0.1662 0.8333
Li2 0.9996 0.1607 0.8328
Hf2 0.5001 0.8338 0.1667


# 18
First-principles (GGA-PBE) data for a relaxed Cs4TlSb2Au2 crystal, as listed in Alexandria.

Properties
Formation energy without anion corrections: -2.12 eV per formula unit

Unit cell a=6.1605 b=8.0366 c=8.0366 alpha=86.71 beta=87.53 gamma=87.53
Atoms (fractional coordinates):
Cs1 0.2570 0.5623 0.1836
Tl1 0.5000 0.0000 0.0000
Cs2 0.7430 0.8164 0.4377
Au1 0.2308 0.6621 0.6621
Cs3 0.2570 0.1836 0.5623
Cs4 0.7430 0.4377 0.8164
Sb1 0.0376 0.1223 0.1223
Sb2 0.9624 0.8777 0.8777
Au2 0.7692 0.3379 0.3379


# 19
First-principles (GGA-PBE) data for a relaxed NaPrSeO4 crystal, as listed in Alexandria.

Properties
Formation energy without anion corrections: -12.12 eV per formula unit

Unit cell a=7.2448 b=6.7292 c=6.7292 alpha=63.89 beta=57.43 gamma=57.43
Atoms (fractional coordinates):
Se1 0.4048 0.3452 0.8452
O1 0.7893 0.2478 0.7478
O2 0.7848 0.7522 0.2522
O3 0.2848 0.2724 0.1580
O4 0.2848 0.6580 0.7724
O5 0.7152 0.7276 0.8420
Pr1 0.0000 0.5000 0.5000
Pr2 0.0000 0.0000 0.0000
O6 0.2152 0.2478 0.7478
O7 0.2107 0.7522 0.2522
Na1 0.5000 0.0000 0.5000
O8 0.7152 0.3420 0.2276
Se2 0.5952 0.6548 0.1548
Na2 0.0000 0.0000 0.5000


Ordered calculated volume results: 17.50; 32.99; 25.33; 25.02; 14.18; 24.47; 28.82; 25.00; 28.06; 14.44; 12.78; 22.31; 20.53; 26.86; 34.68; 31.31; 24.67; 44.06; 16.27; unit Å³/atom.
Ordered electronic total energy results: -6.29; -1.75; -4.36; -7.91; -6.67; -6.54; -5.57; -3.35; -4.37; -7.24; -6.93; -3.33; -4.78; -6.55; -4.72; -5.71; -5.96; -2.52; -5.93; unit eV per atom.